[1]
3
Lattice="3.870 0.000 0.000 0.000 3.892 0.000 -1.883 -1.917 5.662" Properties=species:S:1:pos:R:3 comment="Pb2Se | Alexandria via LeMat-Bulk | PBE | relaxed" raw_formation_energy_ev_per_atom=-0.138 crystal_system=triclinic pbc="T T T"
Pb 0.027 0.017 1.674
Pb 1.960 1.958 3.988
Se 1.935 1.946 0.000



[2]
12
Lattice="3.428 -5.938 0.000 3.428 5.938 0.000 -2.285 0.000 7.390" Properties=species:S:1:pos:R:3 comment="K3Er2MgS6 | Alexandria via LeMat-Bulk | PBE | relaxed" raw_formation_energy_ev_per_atom=-1.562 crystal_system=monoclinic pbc="T T T"
K 0.000 0.000 0.000
K 3.428 1.978 0.000
K 3.428 -1.978 0.000
Er 2.286 3.959 3.695
Er 2.286 -3.959 3.695
Mg 2.286 0.000 3.695
S 1.156 1.957 2.227
S 0.026 0.000 5.163
S 1.156 -1.957 2.227
S 3.416 1.957 5.163
S 4.546 0.000 2.227
S 3.416 -1.957 5.163



[3]
12
Lattice="3.100 -5.590 0.000 3.100 5.590 0.000 -0.013 0.000 8.967" Properties=species:S:1:pos:R:3 comment="Cd3In8Ga | Alexandria via LeMat-Bulk | PBE | relaxed" ef_mev_per_atom=29 crystal_system=monoclinic pbc="T T T"
Cd 0.000 0.000 0.000
Cd 1.543 2.795 4.484
Cd 1.543 -2.795 4.484
In 1.537 0.000 2.858
In 1.547 0.000 6.121
In 3.077 2.731 1.604
In 3.110 2.731 7.363
In 3.077 -2.731 1.604
In 3.110 -2.731 7.363
In 4.640 0.000 2.847
In 4.650 0.000 6.109
Ga 3.100 0.000 0.000



[4]
16
Lattice="7.016 0.000 0.000 0.000 10.775 0.000 -3.250 0.000 5.467" Properties=species:S:1:pos:R:3 comment="Ce6CoPb | Alexandria via LeMat-Bulk | PBE | relaxed" ef_mev_per_atom=-10 crystal_system=monoclinic pbc="T T T"
Ce 0.558 2.568 1.204
Ce 0.558 8.207 1.204
Ce -1.120 0.000 4.477
Ce 1.379 5.387 0.991
Ce -0.300 2.819 4.263
Ce -0.300 7.956 4.263
Ce 4.067 2.819 1.204
Ce 4.067 7.956 1.204
Ce 2.388 5.387 4.477
Ce 4.887 0.000 0.991
Ce 3.208 2.568 4.263
Ce 3.208 8.207 4.263
Co 0.000 0.000 0.000
Co 3.508 5.387 0.000
Pb -1.625 5.387 2.734
Pb 1.883 0.000 2.734



[5]
4
Lattice="3.405 0.000 0.000 0.000 4.689 0.000 0.000 0.000 6.061" Properties=species:S:1:pos:R:3 comment="LaZn2In | Alexandria via LeMat-Bulk | PBE | relaxed" ef_mev_per_atom=-208 crystal_system=orthorhombic pbc="T T T"
La 0.000 0.000 0.000
Zn 1.702 2.344 1.470
Zn 1.702 2.344 4.591
In 1.702 0.000 3.030



One value per record, in order, for V: 85.3 300.9 310.8 413.3 96.8 Å³/cell.